No. 1
{"formula": "MnVZn", "functional": "GGA-PBE", "state": "optimized geometry", "dos_at_fermi_per_ev_atom": 0.47, "e_above_lowest_polymorph_mev_per_atom": 44, "magnetic_moment_mub_per_fu": 0.0, "sg": "P3m1 (156)", "formation_energy_kcal_per_mol_atoms": -0.01, "lattice_angstrom": [[4.1546, 0.0000, 0.0000], [-2.0773, 3.5980, 0.0000], [0.0000, 0.0000, 2.5039]], "species": ["Mn", "V", "Zn"], "frac_coords": [[0.0000, 0.0000, 0.0000], [0.3333, 0.6667, 0.2484], [0.6667, 0.3333, 0.6405]]}


No. 2
{"formula": "UFeGe", "functional": "GGA-PBE", "state": "optimized geometry", "dos_at_fermi_per_ev_atom": 1.35, "magnetic_moment_mub_per_fu": 0.5, "sg": "P2_1/c (14)", "formation_energy_kcal_per_mol_atoms": -7.73, "lattice_angstrom": [[5.5941, 0.0000, 0.0000], [0.0000, 5.8927, 0.0000], [-5.3303, 0.0000, 6.2490]], "species": ["U", "U", "U", "U", "Fe", "Fe", "Fe", "Fe", "Ge", "Ge", "Ge", "Ge"], "frac_coords": [[0.2240, 0.1013, 0.4196], [0.2240, 0.3987, 0.9196], [0.7760, 0.6013, 0.0804], [0.7760, 0.8987, 0.5804], [0.2892, 0.6149, 0.3113], [0.2892, 0.8851, 0.8113], [0.7108, 0.1149, 0.1887], [0.7108, 0.3851, 0.6887], [0.2705, 0.6144, 0.5930], [0.2705, 0.8856, 0.0930], [0.7295, 0.1144, 0.9070], [0.7295, 0.3856, 0.4070]]}


No. 3
{"formula": "MnCu2Re", "functional": "GGA-PBE", "state": "optimized geometry", "dos_at_fermi_per_ev_atom": 0.77, "e_above_lowest_polymorph_mev_per_atom": 115, "magnetic_moment_mub_per_fu": 0.8, "sg": "I4/mmm (139)", "formation_energy_kcal_per_mol_atoms": 7.01, "lattice_angstrom": [[3.5445, 0.0000, 0.0000], [0.0000, 3.5445, 0.0000], [0.0000, 0.0000, 8.0119]], "species": ["Mn", "Mn", "Cu", "Cu", "Cu", "Cu", "Re", "Re"], "frac_coords": [[0.0000, 0.0000, 0.0000], [0.5000, 0.5000, 0.5000], [0.0000, 0.5000, 0.2500], [0.0000, 0.5000, 0.7500], [0.5000, 0.0000, 0.2500], [0.5000, 0.0000, 0.7500], [0.0000, 0.0000, 0.5000], [0.5000, 0.5000, 0.0000]]}